First-principles (PBE-GGA) data for a relaxed structure of LaTm4Tl2, as listed in Alexandria via LeMat-Bulk.

Cell and atoms, written as extended XYZ:
```
14
Lattice="9.2732 0.0000 0.0000 0.0000 9.2732 0.0000 0.0000 0.0000 5.0287" Properties=species:S:1:pos:R:3 pbc="T T T"
La 0.0000 0.0000 0.0000
La 4.6366 4.6366 2.5144
Tm 0.9030 3.2615 2.5144
Tm 1.3751 5.5396 0.0000
Tm 3.2615 0.9030 2.5144
Tm 3.7336 7.8981 0.0000
Tm 5.5396 1.3751 0.0000
Tm 6.0117 8.3702 2.5144
Tm 7.8981 3.7336 0.0000
Tm 8.3702 6.0117 2.5144
Tl 1.8948 7.3784 2.5144
Tl 2.7418 2.7418 0.0000
Tl 6.5314 6.5314 0.0000
Tl 7.3784 1.8948 2.5144
```

---

First-principles (PBE-GGA) data for a relaxed structure of La5YZn6, as listed in Alexandria via LeMat-Bulk.

Cell and atoms, written as extended XYZ:
```
12
Lattice="5.2638 0.0000 0.0000 0.0000 7.4684 0.0000 -2.6086 0.0000 7.9344" Properties=species:S:1:pos:R:3 pbc="T T T"
La 0.0000 0.0000 0.0000
La 0.0191 0.0000 5.2270
La 0.0186 3.7342 5.2922
La 2.6366 3.7342 2.6422
La 2.6361 0.0000 2.7074
Y 0.0000 3.7342 0.0000
Zn 0.0049 1.9185 2.5596
Zn 0.0049 5.5498 2.5596
Zn 2.6319 1.9497 0.0000
Zn 2.6319 5.5186 0.0000
Zn 2.6503 1.9185 5.3748
Zn 2.6503 5.5498 5.3748
```

---

| no. | DFT formation energy (eV/atom) |
| --- | --- |
| 1 | -0.15 |
| 2 | -0.31 |